DFT (PBE with a Hubbard U) results for crystalline Pa2Cr3O8 at its relaxed geometry.

The structure belongs to space group P-1 (No. 2); the cell edges are 5.296, 5.685 and 6.340 Å and the angles 72.02°, 82.55° and 89.18°. The distinct sites, in fractional coordinates, are Pa at (0.031, 0.189, 0.191), Cr at (0.000, 0.500, 0.500), Cr at (0.496, 0.711, 0.233), O at (0.176, 0.842, 0.420), O at (0.193, 0.465, 0.862), O at (0.255, 0.983, 0.924) and O at (0.286, 0.386, 0.318).

The value obtained for the raw total energy is -8.8368 eV/atom. The total magnetic moment is 12.0 μB per formula unit.